Below is crystalline Na2MnP2O7 at its relaxed geometry, with properties calculated at the GGA+U level.

```
Na2MnP2O7
1.0
-5.310 0.436 -0.942
2.516 -3.378 -5.207
-0.839 -5.789 7.561
Na Mn P O
4 2 4 14
Direct
0.351 0.158 0.732
0.649 0.842 0.268
0.857 0.213 0.977
0.143 0.787 0.023
0.091 0.603 0.367
0.909 0.397 0.633
0.748 0.841 0.612
0.252 0.159 0.388
0.576 0.674 0.864
0.424 0.326 0.136
0.743 0.517 0.833
0.257 0.483 0.167
0.096 0.907 0.335
0.904 0.093 0.665
0.647 0.835 0.766
0.353 0.165 0.234
0.509 0.762 0.484
0.491 0.238 0.516
0.069 0.303 0.420
0.931 0.697 0.580
0.340 0.153 0.973
0.660 0.847 0.027
0.280 0.547 0.811
0.720 0.453 0.189
```

## Properties
* calculated volume: 12.739 Å³/atom
* E_tot: -6.832 eV per atom
* energy above the most stable polymorph in this dataset: 0 meV per atom
* SG: P-1, No. 2
* DOS(E_F): 0.000 states/eV/cell